DFT (PBE) results for crystalline CaDy4Er5 at its relaxed geometry.

Structure (POSCAR):
```
CaDy4Er5
1.0
3.547 0.000 0.000
0.000 3.547 0.000
0.000 0.000 25.289
Dy Er Ca
4 5 1
Direct
0.000 0.000 0.205
0.000 0.000 0.402
0.000 0.000 0.795
0.000 0.000 0.598
0.500 0.500 0.111
0.500 0.500 0.304
0.500 0.500 0.889
0.500 0.500 0.500
0.500 0.500 0.696
0.000 0.000 0.000
```

Electronic total energy in eV per atom: -4.28
Crystal system: tetragonal
D(E_F) in states/eV per atom: 1.382
SG: P4/mmm, No. 123
Energy relative to the elements in eV/atom: 0.043